# 1
An optimized crystal structure of Tc2AuBr, computed with PBE.

a = 5.6129 Å, b = 5.6129 Å, c = 4.8934 Å
α = 109.67°, β = 109.67°, γ = 29.57°
Atoms (fractional coordinates):
Tc 0.0000 0.0000 0.0000
Tc 0.7051 0.7051 0.1458
Au 0.4761 0.4761 0.4739
Br 0.2674 0.2674 0.7818

Results
Relative energy among the computed polymorphs ... 41.6 kJ per mole of atoms
E_form (uncorrected) ... 709 meV/atom
Mass density ... 11.0 g/cm³
E_tot ... -5.711 eV per atom
Total moment ... 0.00 Bohr magnetons per cell
Density of states at the Fermi level ... 3.848 states/eV/f.u.
Space group ... Cm (8)

***

# 2
An optimized crystal structure of Sc2CoI, computed with PBE.

a = 4.8410 Å, b = 4.8410 Å, c = 4.8410 Å
α = 60.00°, β = 60.00°, γ = 60.00°
Atoms (fractional coordinates):
Sc 0.2500 0.2500 0.2500
Sc 0.7500 0.7500 0.7500
Co 0.0000 0.0000 0.0000
I 0.5000 0.5000 0.5000

Results
Relative energy among the computed polymorphs ... 41.6 kJ per mole of atoms
E_form (uncorrected) ... 101 meV/atom
Mass density ... 5.7 g/cm³
E_tot ... -5.229 eV per atom
Total moment ... 0.01 Bohr magnetons per cell
Density of states at the Fermi level ... 10.426 states/eV/f.u.
Space group ... Fm-3m (225)

***

# 3
An optimized crystal structure of TaSnS3, computed with PBE.

a = 8.6465 Å, b = 8.6465 Å, c = 8.6465 Å
α = 143.39°, β = 143.39°, γ = 52.74°
Atoms (fractional coordinates):
Ta 0.0000 0.0000 0.0000
Ta 0.7500 0.2500 0.5000
Sn 0.3989 0.3989 0.0000
Sn 0.6011 0.6011 0.0000
S 0.0393 0.5393 0.5000
S 0.3529 0.1429 0.2100
S 0.4607 0.9607 0.5000
S 0.8571 0.0671 0.2100
S 0.8571 0.6471 0.7900
S 0.9329 0.1429 0.7900

Results
E_form (uncorrected) ... -143 meV/atom
Mass density ... 5.8 g/cm³
E_tot ... -5.791 eV per atom
Total moment ... 0.00 Bohr magnetons per cell
Density of states at the Fermi level ... 1.761 states/eV/f.u.
Space group ... I-4m2 (119)

***

# 4
An optimized crystal structure of In2Pd5Pb, computed with PBE.

a = 7.5148 Å, b = 7.5021 Å, c = 4.5839 Å
α = 72.38°, β = 72.08°, γ = 35.55°
Atoms (fractional coordinates):
In 0.2419 0.2419 0.7581
In 0.7581 0.7581 0.2419
Pd 0.0000 0.0000 0.0000
Pd 0.1296 0.1296 0.3704
Pd 0.3704 0.3704 0.1296
Pd 0.6296 0.6296 0.8704
Pd 0.8704 0.8704 0.6296
Pb 0.5000 0.5000 0.5000

Results
Mass density ... 11.3 g/cm³
E_tot ... -4.759 eV per atom
ΔH_f (0 K) ... -0.36 eV per atom
Total moment ... 0.00 Bohr magnetons per cell
Density of states at the Fermi level ... 3.568 states/eV/f.u.
Space group ... Fmmm (69)

***

# 5
An optimized crystal structure of K2TlRhCl6, computed with PBE.

a = 7.2797 Å, b = 7.2865 Å, c = 7.3101 Å
α = 63.51°, β = 63.48°, γ = 63.49°
Atoms (fractional coordinates):
K 0.2331 0.2314 0.2317
K 0.7669 0.7686 0.7683
Tl 0.5000 0.5000 0.5000
Rh 0.0000 0.0000 0.0000
Cl 0.1256 0.3060 0.8067
Cl 0.1982 0.8752 0.6941
Cl 0.3050 0.8032 0.1273
Cl 0.6950 0.1968 0.8727
Cl 0.8018 0.1248 0.3059
Cl 0.8744 0.6940 0.1933

Results
E_form (uncorrected) ... -1236 meV/atom
Mass density ... 3.4 g/cm³
E_tot ... -3.535 eV per atom
Total moment ... 0.00 Bohr magnetons per cell
Space group ... P-1 (2)

***

# 6
An optimized crystal structure of Mg3BiRh, computed with PBE.

a = 4.9523 Å, b = 4.9523 Å, c = 4.9523 Å
α = 90.00°, β = 90.00°, γ = 90.00°
Atoms (fractional coordinates):
Mg 0.0000 0.0000 0.5000
Mg 0.0000 0.5000 0.0000
Mg 0.5000 0.0000 0.0000
Bi 0.5000 0.5000 0.5000
Rh 0.0000 0.0000 0.0000

Results
Relative energy among the computed polymorphs ... 20.7 kJ per mole of atoms
Mass density ... 5.3 g/cm³
E_tot ... -3.274 eV per atom
ΔH_f (0 K) ... -0.07 eV per atom
Total moment ... 0.00 Bohr magnetons per cell
Density of states at the Fermi level ... 1.745 states/eV/f.u.
Space group ... Pm-3m (221)

***

# 7
An optimized crystal structure of LaNd3Te4, computed with PBE.

a = 4.4586 Å, b = 4.4586 Å, c = 30.3605 Å
α = 90.00°, β = 90.00°, γ = 120.00°
Atoms (fractional coordinates):
La 0.3333 0.6667 0.2500
La 0.6667 0.3333 0.7500
Nd 0.0000 0.0000 0.0000
Nd 0.0000 0.0000 0.5000
Nd 0.3333 0.6667 0.6229
Nd 0.3333 0.6667 0.8771
Nd 0.6667 0.3333 0.1229
Nd 0.6667 0.3333 0.3771
Te 0.0000 0.0000 0.1846
Te 0.0000 0.0000 0.3154
Te 0.0000 0.0000 0.6846
Te 0.0000 0.0000 0.8154
Te 0.3333 0.6667 0.0615
Te 0.3333 0.6667 0.4385
Te 0.6667 0.3333 0.5615
Te 0.6667 0.3333 0.9385

Results
Relative energy among the computed polymorphs ... 1.3 kJ per mole of atoms
E_form (uncorrected) ... -1453 meV/atom
Mass density ... 6.9 g/cm³
E_tot ... -5.428 eV per atom
Total moment ... 0.00 Bohr magnetons per cell
Density of states at the Fermi level ... 6.115 states/eV/f.u.
Space group ... P6_3/mmc (194)

***

# 8
An optimized crystal structure of LaGa2Sn2, computed with PBE.

a = 11.1013 Å, b = 11.1013 Å, c = 4.7380 Å
α = 90.00°, β = 90.00°, γ = 155.20°
Atoms (fractional coordinates):
La 0.1351 0.8649 0.7500
La 0.8649 0.1351 0.2500
Ga 0.0290 0.9710 0.2500
Ga 0.4649 0.5351 0.2500
Ga 0.5351 0.4649 0.7500
Ga 0.9710 0.0290 0.7500
Sn 0.2492 0.7508 0.2500
Sn 0.3775 0.6225 0.7500
Sn 0.6225 0.3775 0.2500
Sn 0.7508 0.2492 0.7500

Results
Relative energy among the computed polymorphs ... 0.0 kJ per mole of atoms
Mass density ... 7.0 g/cm³
E_tot ... -4.219 eV per atom
ΔH_f (0 K) ... -0.42 eV per atom
Total moment ... 0.00 Bohr magnetons per cell
Density of states at the Fermi level ... 2.349 states/eV/f.u.
Space group ... Cmcm (63)

***

# 9
An optimized crystal structure of NpNiBi, computed with PBE.

a = 4.3860 Å, b = 4.3860 Å, c = 4.1678 Å
α = 90.00°, β = 90.00°, γ = 120.00°
Atoms (fractional coordinates):
Np 0.0000 0.0000 0.0000
Ni 0.3333 0.6667 0.3473
Bi 0.6667 0.3333 0.5116

Results
Mass density ... 12.1 g/cm³
E_tot ... -7.439 eV per atom
ΔH_f (0 K) ... 0.10 eV per atom
Total moment ... 3.95 Bohr magnetons per cell
Density of states at the Fermi level ... 11.841 states/eV/f.u.
Space group ... P3m1 (156)

***

# 10
An optimized crystal structure of TlHgGe2S6, computed with PBE.

a = 9.2092 Å, b = 9.2092 Å, c = 6.6609 Å
α = 103.95°, β = 103.95°, γ = 89.12°
Atoms (fractional coordinates):
Tl 0.1163 0.8837 0.7500
Tl 0.8837 0.1163 0.2500
Hg 0.2911 0.7089 0.2500
Hg 0.7089 0.2911 0.7500
Ge 0.2249 0.3662 0.7782
Ge 0.3662 0.2249 0.2782
Ge 0.6338 0.7751 0.7218
Ge 0.7751 0.6338 0.2218
S 0.0434 0.1934 0.6856
S 0.1351 0.5909 0.9062
S 0.1934 0.0434 0.1856
S 0.3103 0.4268 0.5120
S 0.4091 0.8649 0.5938
S 0.4268 0.3103 0.0120
S 0.5732 0.6897 0.9880
S 0.5909 0.1351 0.4062
S 0.6897 0.5732 0.4880
S 0.8066 0.9566 0.8144
S 0.8649 0.4091 0.0938
S 0.9566 0.8066 0.3144

Results
E_form (uncorrected) ... -200 meV/atom
Mass density ... 4.6 g/cm³
E_tot ... -3.867 eV per atom
Total moment ... 0.00 Bohr magnetons per cell
Density of states at the Fermi level ... 3.536 states/eV/f.u.
Space group ... C2/c (15)

***

# 11
An optimized crystal structure of Al2BiSb2, computed with PBE.

a = 5.8446 Å, b = 5.8446 Å, c = 5.8446 Å
α = 124.19°, β = 124.19°, γ = 82.89°
Atoms (fractional coordinates):
Al 0.1478 0.1478 0.0000
Al 0.8522 0.8522 0.0000
Bi 0.5000 0.5000 0.0000
Sb 0.2500 0.7500 0.5000
Sb 0.7500 0.2500 0.5000

Results
Relative energy among the computed polymorphs ... 4.8 kJ per mole of atoms
E_form (uncorrected) ... 196 meV/atom
Mass density ... 6.4 g/cm³
E_tot ... -3.726 eV per atom
Total moment ... 0.00 Bohr magnetons per cell
Density of states at the Fermi level ... 2.800 states/eV/f.u.
Space group ... I4/mmm (139)

***

# 12
An optimized crystal structure of BePRu2, computed with PBE.

a = 5.1924 Å, b = 5.1924 Å, c = 5.1924 Å
α = 108.44°, β = 108.44°, γ = 111.55°
Atoms (fractional coordinates):
Be 0.0000 0.0000 0.0000
Be 0.7500 0.2500 0.5000
P 0.2500 0.7500 0.5000
P 0.5000 0.5000 0.0000
Ru 0.1368 0.6250 0.0118
Ru 0.3750 0.3868 0.5118
Ru 0.6132 0.1250 0.9882
Ru 0.8750 0.8632 0.4882

Results
Relative energy among the computed polymorphs ... 57.4 kJ per mole of atoms
Mass density ... 7.5 g/cm³
E_tot ... -6.793 eV per atom
ΔH_f (0 K) ... 0.13 eV per atom
Total moment ... 0.00 Bohr magnetons per cell
Density of states at the Fermi level ... 2.670 states/eV/f.u.
Space group ... I-42d (122)